Here is a relaxed BaTa2Nb crystal from Alexandria via LeMat-Bulk. Energies are from PBE.

The structure in POSCAR format:
```
BaTa2Nb
1.0
-3.363 -2.853 -2.909
-1.890 -2.250 4.391
-8.921 4.136 1.458
Nb Ba Ta
2 2 4
direct
0.500 0.500 0.000
0.250 0.750 0.500
0.000 0.000 0.000
0.750 0.250 0.500
0.356 0.125 0.250
0.394 0.625 0.250
0.375 0.644 0.750
0.875 0.606 0.750
```

**Polymorph energy (0 for the lowest one)**: 325 meV per atom
**Formation energy**: 1.50 eV per atom
**Space group**: No. 122
**ρ**: 7647 kg/m³